No. 1
Computed, not measured: crystalline Pr2DyTc2N6 at its relaxed geometry at the PBE level of DFT.

The structure belongs to space group R-3m (No. 166, hexagonal axes); the cell edges are 5.7726, 5.7726 and 17.9557 Å and the angles 90.00°, 90.00° and 120.00°. The inequivalent atoms are Pr at (0.0000, 0.0000, 0.2090), Dy at (0.0000, 0.0000, 0.0000), Tc at (0.0000, 0.0000, 0.4001) and N at (0.0099, 0.5049, 0.7634).

For the density of states at the Fermi level, the calculation gives 12.816 states/eV/cell. The formation energy from raw total energies is -0.64 eV/atom.

---

No. 2
Computed, not measured: crystalline Mg2H2Ir5 at its relaxed geometry at the PBE level of DFT.

The structure belongs to space group C2 (No. 5); the cell edges are 7.4951, 7.4414 and 4.3513 Å and the angles 90.00°, 92.28° and 90.00°. The inequivalent atoms are Mg at (0.2122, 0.0000, 0.0067), H at (0.0901, 0.2726, 0.2839), Ir at (0.0000, 0.0914, 0.5000), Ir at (0.0000, 0.4662, 0.5000), Ir at (0.0000, 0.6913, 0.0000) and Ir at (0.1807, 0.7732, 0.5071).

For the density of states at the Fermi level, the calculation gives 9.816 states/eV/cell. The energy above the lowest structure with this stoichiometry is 0.04 eV per formula unit.